1.
This record from Alexandria describes crystalline Cr3NiB6 at its relaxed geometry. The functional is PBE.

Cell and atoms, written as CIF:
```
data_Cr3NiB6
_chemical_formula_sum 'Cr6 Ni2 B12'
_cell_length_a 2.9518
_cell_length_b 2.9926
_cell_length_c 17.8057
_cell_angle_alpha 90.00
_cell_angle_beta 90.00
_cell_angle_gamma 90.00
_symmetry_space_group_name_H-M 'A m m 2'
_symmetry_Int_Tables_number 38
_symmetry_space_group_name_Hall 'A 2 -2'
loop_
_atom_site_label
_atom_site_fract_x
_atom_site_fract_y
_atom_site_fract_z
_atom_site_occupancy
Cr1 0.0000 0.0000 0.0000 1
Cr2 0.0000 0.0000 0.2755 1
Cr3 0.5000 0.0000 0.1432 1
Ni1 0.5000 0.0000 0.8697 1
B1 0.0000 0.0000 0.3975 1
B2 0.0000 0.0000 0.5960 1
B3 0.0000 0.0000 0.6931 1
B4 0.5000 0.0000 0.4508 1
B5 0.5000 0.0000 0.5474 1
B6 0.5000 0.0000 0.7473 1
```

Computed properties:
Uncorrected energy ... -78.39 eV per formula unit
Volume ... 157 Å³ per cell
DOS at the Fermi energy ... 0.72 states/eV per atom
E_form ... -0.3675 eV per atom
Magnetic moment ... 2.6 Bohr magnetons per cell

2.
This record from Alexandria describes crystalline Cr3NiB at its relaxed geometry. The functional is PBE.

Cell and atoms, written as CIF:
```
data_Cr3NiB
_chemical_formula_sum 'Cr3 Ni1 B1'
_cell_length_a 4.3916
_cell_length_b 4.3916
_cell_length_c 4.3916
_cell_angle_alpha 90.00
_cell_angle_beta 90.00
_cell_angle_gamma 90.00
_symmetry_space_group_name_H-M 'P m -3 m'
_symmetry_Int_Tables_number 221
_symmetry_space_group_name_Hall '-P 4 2 3'
loop_
_atom_site_label
_atom_site_fract_x
_atom_site_fract_y
_atom_site_fract_z
_atom_site_occupancy
Cr1 0.0000 0.0000 0.5000 1
Ni1 0.0000 0.0000 0.0000 1
B1 0.5000 0.5000 0.5000 1
```

Computed properties:
Uncorrected energy ... -31.94 eV per formula unit
ΔE to the lowest computed polymorph ... 1553 meV per atom
Volume ... 85 Å³ per cell
DOS at the Fermi energy ... 1.77 states/eV per atom
E_form ... 1.8782 eV per atom
Magnetic moment ... 10.2 Bohr magnetons per cell

3.
This record from Alexandria describes crystalline Cr3NiB at its relaxed geometry. The functional is PBE.

Cell and atoms, written as CIF:
```
data_Cr3NiB
_chemical_formula_sum 'Cr3 Ni1 B1'
_cell_length_a 3.8431
_cell_length_b 3.8431
_cell_length_c 3.8431
_cell_angle_alpha 90.00
_cell_angle_beta 90.00
_cell_angle_gamma 90.00
_symmetry_space_group_name_H-M 'P m -3 m'
_symmetry_Int_Tables_number 221
_symmetry_space_group_name_Hall '-P 4 2 3'
loop_
_atom_site_label
_atom_site_fract_x
_atom_site_fract_y
_atom_site_fract_z
_atom_site_occupancy
Cr1 0.0000 0.0000 0.5000 1
Ni1 0.5000 0.5000 0.5000 1
B1 0.0000 0.0000 0.0000 1
```

Computed properties:
Uncorrected energy ... -39.70 eV per formula unit
ΔE to the lowest computed polymorph ... 0 meV per atom
Volume ... 57 Å³ per cell
DOS at the Fermi energy ... 0.98 states/eV per atom
E_form ... 0.3256 eV per atom
Magnetic moment ... 0.0 Bohr magnetons per cell

4.
This record from Alexandria describes crystalline Cr2NiB at its relaxed geometry. The functional is PBE.

Cell and atoms, written as CIF:
```
data_Cr2NiB
_chemical_formula_sum 'Cr8 Ni4 B4'
_cell_length_a 6.3638
_cell_length_b 6.3638
_cell_length_c 4.2255
_cell_angle_alpha 90.00
_cell_angle_beta 90.00
_cell_angle_gamma 90.00
_symmetry_space_group_name_H-M 'I -4 2 d'
_symmetry_Int_Tables_number 122
_symmetry_space_group_name_Hall 'I -4 2bw'
loop_
_atom_site_label
_atom_site_fract_x
_atom_site_fract_y
_atom_site_fract_z
_atom_site_occupancy
Cr1 0.1809 0.2500 0.1250 1
Ni1 0.0000 0.0000 0.5000 1
B1 0.0000 0.0000 0.0000 1
```

Computed properties:
Uncorrected energy ... -30.36 eV per formula unit
Volume ... 171 Å³ per cell
DOS at the Fermi energy ... 1.21 states/eV per atom
E_form ... 0.3374 eV per atom
Magnetic moment ... 0.0 Bohr magnetons per cell

5.
This record from Alexandria describes crystalline CrNi3B at its relaxed geometry. The functional is PBE.

Cell and atoms, written as CIF:
```
data_CrNi3B
_chemical_formula_sum 'Cr1 Ni3 B1'
_cell_length_a 3.7918
_cell_length_b 3.7918
_cell_length_c 3.7918
_cell_angle_alpha 90.00
_cell_angle_beta 90.00
_cell_angle_gamma 90.00
_symmetry_space_group_name_H-M 'P m -3 m'
_symmetry_Int_Tables_number 221
_symmetry_space_group_name_Hall '-P 4 2 3'
loop_
_atom_site_label
_atom_site_fract_x
_atom_site_fract_y
_atom_site_fract_z
_atom_site_occupancy
Cr1 0.0000 0.0000 0.0000 1
Ni1 0.0000 0.5000 0.5000 1
B1 0.5000 0.5000 0.5000 1
```

Computed properties:
Uncorrected energy ... -32.08 eV per formula unit
ΔE to the lowest computed polymorph ... 0 meV per atom
Volume ... 55 Å³ per cell
DOS at the Fermi energy ... 2.32 states/eV per atom
E_form ... 0.3139 eV per atom
Magnetic moment ... 0.2 Bohr magnetons per cell

6.
This record from Alexandria describes crystalline CrNi3B at its relaxed geometry. The functional is PBE.

Cell and atoms, written as CIF:
```
data_CrNi3B
_chemical_formula_sum 'Cr1 Ni3 B1'
_cell_length_a 4.2023
_cell_length_b 4.2023
_cell_length_c 4.2023
_cell_angle_alpha 90.00
_cell_angle_beta 90.00
_cell_angle_gamma 90.00
_symmetry_space_group_name_H-M 'P m -3 m'
_symmetry_Int_Tables_number 221
_symmetry_space_group_name_Hall '-P 4 2 3'
loop_
_atom_site_label
_atom_site_fract_x
_atom_site_fract_y
_atom_site_fract_z
_atom_site_occupancy
Cr1 0.0000 0.0000 0.0000 1
Ni1 0.0000 0.0000 0.5000 1
B1 0.5000 0.5000 0.5000 1
```

Computed properties:
Uncorrected energy ... -24.08 eV per formula unit
ΔE to the lowest computed polymorph ... 1598 meV per atom
Volume ... 74 Å³ per cell
DOS at the Fermi energy ... 1.06 states/eV per atom
E_form ... 1.9123 eV per atom
Magnetic moment ... 0.0 Bohr magnetons per cell